The following is a DFT calculation (GGA-PBE) of an optimized crystal structure of CaThIrPd.

Cell and atoms, written as POSCAR:
```
CaThIrPd
1.0
7.070 0.000 0.000
0.000 7.070 0.000
0.000 0.000 7.070
Ca Th Ir Pd
4 4 4 4
direct
0.000 0.000 0.000 Ca
0.000 0.500 0.500 Ca
0.500 0.000 0.500 Ca
0.500 0.500 0.000 Ca
0.000 0.000 0.500 Th
0.000 0.500 0.000 Th
0.500 0.000 0.000 Th
0.500 0.500 0.500 Th
0.250 0.250 0.750 Ir
0.250 0.750 0.250 Ir
0.750 0.250 0.250 Ir
0.750 0.750 0.750 Ir
0.250 0.250 0.250 Pd
0.250 0.750 0.750 Pd
0.750 0.250 0.750 Pd
0.750 0.750 0.250 Pd
```

Properties
E above lowest polymorph: 100 meV/atom
formation energy: -0.68 eV/atom
V: 353.4 Å³ per cell
space group: No. 216
magnetic moment: 0.000 μB/cell